[1]
VASP calculation (PBE) on a relaxed structure of TlVBr2Cl.

Lattice parameters (Å, degrees): 7.264 7.264 7.264 118.77 118.77 92.14
Fractional coordinates of all 10 atoms:
Tl: 0.250 0.750 0.500
Tl: 0.750 0.250 0.500
V: 0.000 0.000 0.000
V: 0.500 0.500 0.000
Br: 0.207 0.707 0.913
Br: 0.293 0.207 0.500
Br: 0.707 0.793 0.500
Br: 0.793 0.293 0.087
Cl: 0.250 0.250 0.000
Cl: 0.750 0.750 0.000

Symmetry ... I4/mcm (140)
Magnetic moment ... 6.0 Bohr magnetons per cell
ΔE_f (raw) ... -0.834 eV per atom
Excess energy over the best structure of this formula in the dataset ... 0.000 eV/atom
ρ ... 5.4 g cm⁻³

***

[2]
VASP calculation (PBE) on a relaxed structure of CaNbSeBr2.

Lattice parameters (Å, degrees): 5.274 5.274 5.108 90.00 90.00 90.00
Fractional coordinates of all 5 atoms:
Ca: 0.000 0.000 0.000
Nb: 0.500 0.500 0.500
Se: 0.500 0.500 0.000
Br: 0.000 0.500 0.500
Br: 0.500 0.000 0.500

Symmetry ... P4/mmm (123)
Magnetic moment ... 1.5 Bohr magnetons per cell
ΔE_f (raw) ... -0.622 eV per atom
Excess energy over the best structure of this formula in the dataset ... 0.000 eV/atom
ρ ... 4.3 g cm⁻³

***

[3]
VASP calculation (PBE) on a relaxed structure of Nd3Dy2Ho.

Lattice parameters (Å, degrees): 6.248 6.248 11.972 110.33 110.33 70.57
Fractional coordinates of all 12 atoms:
Nd: 0.125 0.875 0.750
Nd: 0.209 0.458 0.917
Nd: 0.458 0.209 0.417
Nd: 0.542 0.791 0.583
Nd: 0.791 0.542 0.083
Nd: 0.875 0.125 0.250
Dy: 0.042 0.292 0.583
Dy: 0.292 0.042 0.083
Dy: 0.708 0.958 0.917
Dy: 0.958 0.708 0.417
Ho: 0.375 0.625 0.250
Ho: 0.625 0.375 0.750

Symmetry ... C2/c (15)
Magnetic moment ... 0.0 Bohr magnetons per cell
Calculated formation energy ... 0.017 eV/atom
Excess energy over the best structure of this formula in the dataset ... 0.022 eV/atom
ρ ... 7.7 g cm⁻³

***

[4]
VASP calculation (PBE) on a relaxed structure of ReTeSeI2.

Lattice parameters (Å, degrees): 5.409 5.409 5.162 90.00 90.00 90.00
Fractional coordinates of all 5 atoms:
Re: 0.000 0.000 0.000
Te: 0.000 0.000 0.500
Se: 0.500 0.500 0.500
I: 0.000 0.500 0.000
I: 0.500 0.000 0.000

Symmetry ... P4/mmm (123)
Magnetic moment ... 0.0 Bohr magnetons per cell
ΔE_f (raw) ... 0.816 eV per atom
Excess energy over the best structure of this formula in the dataset ... 0.000 eV/atom
ρ ... 7.1 g cm⁻³

***

[5]
VASP calculation (PBE) on a relaxed structure of Lu2SnBi.

Lattice parameters (Å, degrees): 5.024 5.024 4.250 90.00 90.00 90.00
Fractional coordinates of all 4 atoms:
Lu: 0.000 0.500 0.000
Lu: 0.500 0.000 0.000
Sn: 0.000 0.000 0.500
Bi: 0.500 0.500 0.500

Symmetry ... P4/mmm (123)
Magnetic moment ... 0.0 Bohr magnetons per cell
Calculated formation energy ... -0.464 eV/atom
Excess energy over the best structure of this formula in the dataset ... 0.109 eV/atom
ρ ... 10.5 g cm⁻³

***

[6]
VASP calculation (PBE) on a relaxed structure of SrCdSi.

Lattice parameters (Å, degrees): 4.513 4.513 4.666 90.00 90.00 120.00
Fractional coordinates of all 3 atoms:
Sr: 0.000 0.000 0.000
Cd: 0.667 0.333 0.500
Si: 0.333 0.667 0.500

Symmetry ... P-6m2 (187)
Magnetic moment ... 0.0 Bohr magnetons per cell
ΔE_f (raw) ... -0.314 eV per atom
ρ ... 4.6 g cm⁻³

***

[7]
VASP calculation (PBE) on a relaxed structure of Sc8P3S4N.

Lattice parameters (Å, degrees): 7.362 7.362 7.362 59.52 59.52 59.52
Fractional coordinates of all 16 atoms:
Sc: 0.247 0.247 0.247
Sc: 0.265 0.730 0.730
Sc: 0.270 0.270 0.735
Sc: 0.270 0.735 0.270
Sc: 0.730 0.265 0.730
Sc: 0.730 0.730 0.265
Sc: 0.735 0.270 0.270
Sc: 0.753 0.753 0.753
P: 0.000 0.000 0.500
P: 0.000 0.500 0.000
P: 0.500 0.000 0.000
S: 0.000 0.000 0.000
S: 0.000 0.500 0.500
S: 0.500 0.000 0.500
S: 0.500 0.500 0.000
N: 0.500 0.500 0.500

Symmetry ... R-3m (166)
Magnetic moment ... 0.0 Bohr magnetons per cell
ΔE_f (raw) ... -1.723 eV per atom
ρ ... 3.5 g cm⁻³

***

[8]
VASP calculation (PBE) on a relaxed structure of Li2CuH5Pd.

Lattice parameters (Å, degrees): 5.658 5.658 9.530 90.00 90.00 150.37
Fractional coordinates of all 18 atoms:
Li: 0.084 0.916 0.500
Li: 0.151 0.849 0.126
Li: 0.849 0.151 0.626
Li: 0.916 0.084 0.000
Cu: 0.227 0.773 0.862
Cu: 0.773 0.227 0.362
H: 0.061 0.939 0.871
H: 0.254 0.746 0.471
H: 0.320 0.680 0.231
H: 0.368 0.632 0.788
H: 0.489 0.511 0.579
H: 0.511 0.489 0.079
H: 0.632 0.368 0.288
H: 0.680 0.320 0.731
H: 0.746 0.254 0.971
H: 0.939 0.061 0.371
Pd: 0.473 0.527 0.255
Pd: 0.527 0.473 0.755

Symmetry ... Cmc2_1 (36)
Magnetic moment ... 0.0 Bohr magnetons per cell
Raw total energy ... -3.474 eV/atom
ρ ... 4.2 g cm⁻³

***

[9]
VASP calculation (PBE) on a relaxed structure of CsLi2InCl6.

Lattice parameters (Å, degrees): 6.498 6.504 9.116 69.27 69.30 60.04
Fractional coordinates of all 10 atoms:
Cs: 0.000 0.000 0.000
Li: 0.171 0.170 0.490
Li: 0.829 0.830 0.510
In: 0.500 0.500 0.500
Cl: 0.116 0.769 0.671
Cl: 0.232 0.554 0.329
Cl: 0.445 0.116 0.671
Cl: 0.555 0.884 0.329
Cl: 0.768 0.446 0.671
Cl: 0.884 0.231 0.329

Symmetry ... P-1 (2)
Magnetic moment ... 0.0 Bohr magnetons per cell
ΔE_f (raw) ... -1.599 eV per atom
ρ ... 2.6 g cm⁻³

***

[10]
VASP calculation (PBE) on a relaxed structure of Tb5YZn6.

Lattice parameters (Å, degrees): 7.995 7.995 7.194 90.00 90.00 143.14
Fractional coordinates of all 12 atoms:
Tb: 0.000 0.000 0.000
Tb: 0.333 0.667 0.000
Tb: 0.333 0.667 0.500
Tb: 0.667 0.333 0.000
Tb: 0.667 0.333 0.500
Y: 0.000 0.000 0.500
Zn: 0.167 0.833 0.250
Zn: 0.167 0.833 0.750
Zn: 0.500 0.500 0.250
Zn: 0.500 0.500 0.750
Zn: 0.833 0.167 0.250
Zn: 0.833 0.167 0.750

Symmetry ... Cmmm (65)
Magnetic moment ... 0.0 Bohr magnetons per cell
Calculated formation energy ... -0.340 eV/atom
ρ ... 7.7 g cm⁻³

***

[11]
VASP calculation (PBE) on a relaxed structure of LiMg2AlAu4.

Lattice parameters (Å, degrees): 7.950 7.950 7.950 33.47 33.47 33.47
Fractional coordinates of all 8 atoms:
Li: 0.000 0.000 0.000
Mg: 0.254 0.254 0.254
Mg: 0.746 0.746 0.746
Al: 0.500 0.500 0.500
Au: 0.128 0.128 0.128
Au: 0.378 0.378 0.378
Au: 0.622 0.622 0.622
Au: 0.872 0.872 0.872

Symmetry ... R-3m (166)
Magnetic moment ... 0.0 Bohr magnetons per cell
Calculated formation energy ... -0.552 eV/atom
ρ ... 10.6 g cm⁻³

***

[12]
VASP calculation (PBE) on a relaxed structure of HfAs2PbO8.

Lattice parameters (Å, degrees): 5.196 5.196 7.683 90.76 90.76 65.94
Fractional coordinates of all 12 atoms:
Hf: 0.000 0.000 0.000
As: 0.358 0.358 0.227
As: 0.642 0.642 0.773
Pb: 0.000 0.000 0.500
O: 0.223 0.722 0.199
O: 0.228 0.228 0.059
O: 0.278 0.777 0.801
O: 0.289 0.289 0.430
O: 0.711 0.711 0.570
O: 0.722 0.223 0.199
O: 0.772 0.772 0.941
O: 0.777 0.278 0.801

Symmetry ... C2/m (12)
Magnetic moment ... 0.0 Bohr magnetons per cell
ΔE_f (raw) ... -1.835 eV per atom
ρ ... 5.8 g cm⁻³

***

Which value of magnetic moment does entry 10 give?
0.0 Bohr magnetons per cell